MgAl3F | GGA-PBE | optimized geometry

Unit cell a=4.525 b=4.525 c=4.525 alpha=90.00 beta=90.00 gamma=90.00
Positions (direct):
Mg 0.500 0.500 0.500
Al 0.000 0.500 0.000
Al 0.000 0.000 0.500
Al 0.500 0.000 0.000
F 0.000 0.000 0.000

Calculated values
Its space group is Pm-3m (221). For the electronic total energy, the calculation gives -3.18 eV per atom. The calculation puts the uncorrected formation energy at -1.2 eV/f.u.